(1)
# Pm4Ge8Ru, relaxed, DFT PBE
# DFT total energy, eV/atom: -5.617
# Crystal system: orthorhombic
# Energy of formation from the pure elements, eV per atom: -0.60
data_Pm4Ge8Ru
_chemical_formula_sum 'Pm4 Ge8 Ru1'
_cell_length_a 4.070
_cell_length_b 4.269
_cell_length_c 16.600
_cell_angle_alpha 90.00
_cell_angle_beta 90.00
_cell_angle_gamma 90.00
_symmetry_space_group_name_H-M 'P m m 2'
_symmetry_Int_Tables_number 25
loop_
_symmetry_equiv_pos_as_xyz
'x,y,z'
'-x,-y,z'
'-x,y,z'
'x,-y,z'
loop_
_atom_site_label
_atom_site_fract_x
_atom_site_fract_y
_atom_site_fract_z
Pm1 0.000 0.000 0.000
Pm2 0.000 0.500 0.491
Pm3 0.500 0.000 0.791
Pm4 0.500 0.500 0.286
Ge1 0.000 0.000 0.338
Ge2 0.000 0.000 0.628
Ge3 0.000 0.500 0.140
Ge4 0.000 0.500 0.852
Ge5 0.500 0.000 0.146
Ge6 0.500 0.000 0.439
Ge7 0.500 0.500 0.625
Ge8 0.500 0.500 0.950
Ru1 0.000 0.500 0.704

=====

(2)
# Pm2Ge6Ru, relaxed, DFT PBE
# DFT total energy, eV/atom: -5.640
# E above lowest polymorph, eV per atom: 0.000
# Crystal system: monoclinic
# Energy of formation from the pure elements, eV per atom: -0.48
data_Pm2Ge6Ru
_chemical_formula_sum 'Pm4 Ge12 Ru2'
_cell_length_a 10.516
_cell_length_b 6.079
_cell_length_c 5.489
_cell_angle_alpha 90.00
_cell_angle_beta 90.06
_cell_angle_gamma 90.00
_symmetry_space_group_name_H-M 'C 1 2/m 1'
_symmetry_Int_Tables_number 12
loop_
_symmetry_equiv_pos_as_xyz
'x,y,z'
'-x,-y,-z'
'-x,y,-z'
'x,-y,z'
'x+1/2,y+1/2,z'
'-x+1/2,-y+1/2,-z'
'-x+1/2,y+1/2,-z'
'x+1/2,-y+1/2,z'
loop_
_atom_site_label
_atom_site_fract_x
_atom_site_fract_y
_atom_site_fract_z
Pm1 0.167 0.000 0.185
Ge1 0.090 0.230 0.690
Ge2 0.180 0.500 0.310
Ru1 0.000 0.500 0.000

=====

(3)
# PmScGe2Ru, relaxed, DFT PBE
# DFT total energy, eV/atom: -6.678
# Crystal system: tetragonal
# Energy of formation from the pure elements, eV per atom: -0.76
data_PmScGe2Ru
_chemical_formula_sum 'Pm2 Sc2 Ge4 Ru2'
_cell_length_a 4.094
_cell_length_b 4.094
_cell_length_c 11.765
_cell_angle_alpha 90.00
_cell_angle_beta 90.00
_cell_angle_gamma 90.00
_symmetry_space_group_name_H-M 'I -4 m 2'
_symmetry_Int_Tables_number 119
_symmetry_space_group_name_Hall 'I -4 -2'
loop_
_atom_site_label
_atom_site_fract_x
_atom_site_fract_y
_atom_site_fract_z
Pm1 0.000 0.000 0.000
Sc1 0.000 0.500 0.750
Ge1 0.000 0.000 0.393
Ru1 0.000 0.500 0.250

=====

Q: Which value of energy of formation from the pure elements does entry 2 give?
A: -0.48 eV per atom